NdY4Ho2 | GGA-PBE | optimized geometry

- E_form: 0.190 eV/f.u.
- Relative energy among the computed polymorphs: 0.000 eV/atom
- Spin magnetization: 0.0 μB/cell

Lattice parameters (Å, degrees): 3.5549 8.7739 8.5448 118.64 101.99 90.03
Last column: nearest neighbours and their distance in Å.
Fractional coordinates of all 7 atoms:
Ho 0.0696 0.4302 0.1404  1 Ho 3.14, 2 Y 3.32-3.51, 1 Nd 3.36
Nd 0.0000 0.0000 0.0000  2 Ho 3.36, 2 Nd 3.55, 4 Y 3.59
Y 0.7048 0.2940 0.4106  3 Ho 3.32-3.51, 7 Y 3.55-3.72, 2 Nd 3.59
Y 0.2952 0.7060 0.5894  3 Ho 3.32-3.51, 7 Y 3.55-3.72, 2 Nd 3.59
Ho 0.9304 0.5698 0.8596  1 Ho 3.14, 2 Y 3.32-3.51, 1 Nd 3.36
Y 0.6404 0.8321 0.2815  7 Y 3.55-3.83, 4 Ho 3.59-3.60, 2 Nd 3.78
Y 0.3596 0.1679 0.7185  7 Y 3.55-3.83, 4 Ho 3.59-3.60, 2 Nd 3.78

Nd6Y5Ho2 | GGA-PBE | optimized geometry

- E_form: 1.295 eV/f.u.
- Spin magnetization: 0.0 μB/cell

Lattice parameters (Å, degrees): 3.6434 11.7317 20.7041 90.00 90.00 90.00
Last column: nearest neighbours and their distance in Å.
Fractional coordinates of all 26 atoms:
Y 0.5000 0.9078 0.7744  5 Nd 3.34-3.55, 4 Ho 3.55-3.61, 2 Y 3.64
Y 0.5000 0.5000 0.0000  6 Nd 3.45, 4 Y 3.64-3.74
Nd 0.0000 0.0822 0.3661  1 Ho 3.35, 6 Y 3.43-3.54, 4 Nd 3.49-3.64
Nd 0.0000 0.9371 0.9208  6 Y 3.55-3.71, 5 Nd 3.60-3.79, 1 Ho 3.83
Nd 0.0000 0.9178 0.6339  1 Ho 3.35, 6 Y 3.43-3.54, 4 Nd 3.49-3.64
Y 0.5000 0.5922 0.2744  5 Nd 3.34-3.55, 4 Ho 3.55-3.61, 2 Y 3.64
Y 0.5000 0.0000 0.5000  6 Nd 3.45, 4 Y 3.64-3.74
Nd 0.0000 0.5629 0.4208  6 Y 3.55-3.71, 5 Nd 3.60-3.79, 1 Ho 3.83
Nd 0.5000 0.6717 0.8645  2 Y 3.34-3.45, 4 Nd 3.49-3.64, 2 Ho 3.67
Y 0.5000 0.6976 0.5571  6 Nd 3.54-3.71, 3 Y 3.64-3.74, 2 Ho 3.69
Y 0.5000 0.1976 0.9429  6 Nd 3.54-3.71, 3 Y 3.64-3.74, 2 Ho 3.69
Nd 0.5000 0.3283 0.1355  2 Y 3.34-3.45, 4 Nd 3.49-3.64, 2 Ho 3.67
Ho 0.0000 0.1666 0.7892  3 Nd 3.35-3.67, 6 Y 3.55-3.69, 2 Ho 3.64
Nd 0.0000 0.4371 0.5792  6 Y 3.55-3.71, 5 Nd 3.60-3.79, 1 Ho 3.83
Y 0.5000 0.3024 0.4429  6 Nd 3.54-3.71, 3 Y 3.64-3.74, 2 Ho 3.69
Nd 0.5000 0.1717 0.6355  2 Y 3.34-3.45, 4 Nd 3.49-3.64, 2 Ho 3.67
Nd 0.0000 0.4178 0.8661  1 Ho 3.35, 6 Y 3.43-3.54, 4 Nd 3.49-3.64
Ho 0.0000 0.8334 0.2108  3 Nd 3.35-3.67, 6 Y 3.55-3.69, 2 Ho 3.64
Ho 0.0000 0.3334 0.2892  3 Nd 3.35-3.67, 6 Y 3.55-3.69, 2 Ho 3.64
Nd 0.0000 0.5822 0.1339  1 Ho 3.35, 6 Y 3.43-3.54, 4 Nd 3.49-3.64
Y 0.5000 0.8024 0.0571  6 Nd 3.54-3.71, 3 Y 3.64-3.74, 2 Ho 3.69
Y 0.5000 0.0922 0.2256  5 Nd 3.34-3.55, 4 Ho 3.55-3.61, 2 Y 3.64
Y 0.5000 0.4078 0.7256  5 Nd 3.34-3.55, 4 Ho 3.55-3.61, 2 Y 3.64
Nd 0.5000 0.8283 0.3645  2 Y 3.34-3.45, 4 Nd 3.49-3.64, 2 Ho 3.67
Ho 0.0000 0.6666 0.7108  3 Nd 3.35-3.67, 6 Y 3.55-3.69, 2 Ho 3.64
Nd 0.0000 0.0629 0.0792  6 Y 3.55-3.71, 5 Nd 3.60-3.79, 1 Ho 3.83

Nd8YHo2 | GGA-PBE | optimized geometry

- E_form: 1.816 eV/f.u.
- Relative energy among the computed polymorphs: 0.000 eV/atom
- Spin magnetization: 0.0 μB/cell

Lattice parameters (Å, degrees): 6.7261 10.4189 10.4189 38.25 59.75 59.75
Last column: nearest neighbours and their distance in Å.
Fractional coordinates of all 11 atoms:
Ho 0.5873 0.8025 0.8025  7 Nd 3.40-3.69, 1 Y 3.79
Nd 0.8308 0.2444 0.2444  5 Nd 3.33-3.50, 4 Ho 3.40-3.69
Nd 0.7680 0.6506 0.1743  5 Nd 3.25-3.57, 1 Y 3.39, 1 Ho 3.49
Nd 0.2740 0.4058 0.4058  6 Nd 3.38-3.76, 1 Ho 3.69
Nd 0.2320 0.3494 0.8257  5 Nd 3.25-3.57, 1 Y 3.39, 1 Ho 3.49
Y 0.0000 0.0000 0.0000  4 Nd 3.39, 2 Ho 3.79
Nd 0.7680 0.1743 0.6506  5 Nd 3.25-3.57, 1 Y 3.39, 1 Ho 3.49
Nd 0.7260 0.5942 0.5942  6 Nd 3.38-3.76, 1 Ho 3.69
Nd 0.2320 0.8257 0.3494  5 Nd 3.25-3.57, 1 Y 3.39, 1 Ho 3.49
Ho 0.4127 0.1975 0.1975  7 Nd 3.40-3.69, 1 Y 3.79
Nd 0.1692 0.7556 0.7556  5 Nd 3.33-3.50, 4 Ho 3.40-3.69

Nd4YHo10 | GGA-PBE | optimized geometry

- E_form: 11.488 eV/f.u.
- Spin magnetization: 0.0 μB/cell

Lattice parameters (Å, degrees): 7.7202 9.4686 9.4686 80.43 65.94 65.94
Last column: nearest neighbours and their distance in Å.
Fractional coordinates of all 15 atoms:
Ho 0.8500 0.7015 0.1007  1 Y 3.33, 3 Nd 3.35
Ho 0.9508 0.8993 0.7015  1 Y 3.33, 3 Nd 3.35
Ho 0.7500 0.5000 0.5000  4 Nd 3.36
Ho 0.6523 0.2985 0.8993  1 Y 3.33, 3 Nd 3.35
Nd 0.6009 0.1981 0.6001  8 Ho 3.35-3.36
Nd 0.7990 0.6001 0.8019  8 Ho 3.35-3.36
Ho 0.2500 0.5000 0.5000  4 Nd 3.36
Ho 0.1500 0.2985 0.8993  1 Y 3.33, 3 Nd 3.35
Ho 0.4484 0.8993 0.7015  1 Y 3.33, 3 Nd 3.35
Ho 0.3477 0.7015 0.1007  1 Y 3.33, 3 Nd 3.35
Ho 0.0492 0.1007 0.2985  1 Y 3.33, 3 Nd 3.35
Nd 0.2010 0.3999 0.1981  8 Ho 3.35-3.36
Nd 0.3991 0.8019 0.3999  8 Ho 3.35-3.36
Ho 0.5516 0.1007 0.2985  1 Y 3.33, 3 Nd 3.35
Y 0.0000 0.0000 0.0000  8 Ho 3.33

no.,V (Å³ per cell)
1,227
2,885
3,382
4,577